Record 1
A relaxed Sc2TeIr crystal, computed with PBE.

Properties
space group: R-3m (166)

Cell lengths 3.9560, 3.9560, 7.1088 Å; angles 73.86, 73.86, 59.99 degrees
Atoms (fractional coordinates):
Te: 0.7500 0.7500 0.7500
Sc: 0.9849 0.9849 0.0451
Ir: 0.2500 0.2500 0.2500
Sc: 0.5151 0.5151 0.4549



Record 2
A relaxed ScTeIr3 crystal, computed with PBE.

Properties
ΔE to the lowest computed polymorph: 8.49 kcal/mol of atoms
space group: Pm-3m (221)

Cell lengths 4.7522, 4.7522, 4.7522 Å; angles 90.00, 90.00, 90.00 degrees
Each line ends with the local moment (μB).
Atoms (fractional coordinates):
Ir: 0.5000 0.0000 0.0000  0.41
Ir: 0.0000 0.5000 0.0000  0.43
Ir: 0.0000 0.0000 0.5000  0.32
Sc: 0.0000 0.0000 0.0000  -0.05
Te: 0.5000 0.5000 0.5000  0.02



Record 3
A relaxed Sc3TeIr crystal, computed with PBE.

Properties
ΔE to the lowest computed polymorph: 0.00 kcal/mol of atoms
space group: Pm-3m (221)

Cell lengths 5.0647, 5.0647, 5.0647 Å; angles 90.00, 90.00, 90.00 degrees
Atoms (fractional coordinates):
Ir: 0.0000 0.0000 0.0000
Te: 0.5000 0.5000 0.5000
Sc: 0.5000 0.0000 0.0000
Sc: 0.0000 0.0000 0.5000
Sc: 0.0000 0.5000 0.0000



Record 4
A relaxed ScTeIr2 crystal, computed with PBE.

Properties
space group: P4/mmm (123)

Cell lengths 4.2241, 4.2229, 3.8958 Å; angles 90.00, 90.00, 90.00 degrees
Atoms (fractional coordinates):
Ir: 0.0000 0.0000 0.0000
Ir: 0.5000 0.5000 0.0000
Sc: 0.5000 0.0000 0.5000
Te: 0.0000 0.5000 0.5000



Record 5
A relaxed Sc2TeIr crystal, computed with PBE.

Properties
space group: Amm2 (38)

Cell lengths 4.1077, 3.7900, 5.7310 Å; angles 70.68, 90.00, 90.00 degrees
Atoms (fractional coordinates):
Sc: 0.5000 0.2864 0.3028
Te: 0.0000 0.7071 0.4614
Ir: 0.5000 0.5231 0.8279
Sc: 0.0000 0.9833 0.9078



Record 6
A relaxed ScTeIr2 crystal, computed with PBE.

Properties
space group: I-42d (122)

Cell lengths 4.1790, 4.1790, 9.3742 Å; angles 77.12, 77.12, 90.00 degrees
Atoms (fractional coordinates):
Sc: 0.2500 0.7500 0.5000
Ir: 0.6314 0.1250 0.2500
Te: 0.0000 0.0000 0.0000
Ir: 0.8750 0.8814 0.7500
Ir: 0.3750 0.3686 0.7500
Te: 0.7500 0.2500 0.5000
Sc: 0.5000 0.5000 0.0000
Ir: 0.1186 0.6250 0.2500



| no. | calculated density (g/cm3) | raw formation energy (kJ per mole of atoms) |
| --- | --- | --- |
| 1 | 7.46 | -84 |
| 2 | 11.59 | 133 |
| 3 | 5.81 | -50 |
| 4 | 13.31 | -36 |
| 5 | 8.08 | -84 |
| 6 | 11.91 | -8 |